## NdHoCu2As4 (PBE)

Data for NdHoCu2As4 after structural relaxation.

Values from the calculation:
As for the space group: P4mm. The calculation puts the total energy at -5.246 eV per atom. The density comes out at 7.87 g/cm3.

Structure (POSCAR):
```
NdHoCu2As4
1.0
-3.919 0.138 -0.414
-0.345 -3.273 2.171
-0.678 5.559 8.274
As Cu Ho Nd
4 2 1 1
Cartesian
-2.369 0.375 3.770 As
-0.449 3.678 5.474 As
-2.632 5.583 7.999 As
-0.845 3.877 9.291 As
-2.302 2.876 3.971 Cu
-0.515 1.170 5.263 Cu
-2.647 2.659 7.169 Ho
-0.160 1.308 1.947 Nd
```